Record 1
## YH4Ir (PBE)

Data for a relaxed structure of YH4Ir.

DOS at the Fermi energy: 0.033 states/eV/atom
E: -5.264 eV per atom
total moment: 0.0 μB/cell

The structure in POSCAR format:
```
YH4Ir
1.0
3.8443 0.0000 0.0000
0.0000 4.5716 0.0000
0.0000 0.0000 6.6410
Y H Ir
2 8 2
Cartesian
0.0000 0.0000 0.0000
1.9222 2.2858 3.3205
0.0000 1.2130 2.1658
0.0000 1.2130 4.4752
0.0000 3.3586 2.1658
0.0000 3.3586 4.4752
1.9222 1.0728 1.1547
1.9222 1.0728 5.4863
1.9222 3.4988 1.1547
1.9222 3.4988 5.4863
0.0000 0.0000 3.3205
1.9222 2.2858 0.0000
```



Record 2
## SmHoPd4 (PBE)

Data for a relaxed structure of SmHoPd4.

DOS at the Fermi energy: 0.396 states/eV/atom
ΔE to the lowest computed polymorph: 78.2 meV/atom
ΔH_f (0 K): -4.8 eV per formula unit
total moment: 0.0 μB/cell

The structure in POSCAR format:
```
SmHoPd4
1.0
0.0000 3.8646 3.8646
3.8646 0.0000 3.8646
3.8646 3.8646 0.0000
Sm Ho Pd
1 1 4
Cartesian
0.0000 0.0000 0.0000
5.7969 5.7969 5.7969
2.9005 2.9005 2.9005
4.8287 4.8287 2.9005
4.8287 2.9005 4.8287
2.9005 4.8287 4.8287
```



Record 3
## CaTaTlOs2 (PBE)

Data for a relaxed structure of CaTaTlOs2.

DOS at the Fermi energy: 1.200 states/eV/atom
ΔH_f (0 K): 11.5 eV per formula unit
total moment: 0.0 μB/cell

The structure in POSCAR format:
```
CaTaTlOs2
1.0
5.0267 0.0000 0.0000
0.0000 5.0267 0.0000
0.0000 0.0000 5.0505
Ca Ta Tl Os
1 1 1 2
Cartesian
0.0000 0.0000 0.0000
2.5133 2.5133 0.0000
2.5133 2.5133 2.5252
0.0000 2.5133 2.5252
2.5133 0.0000 2.5252
```



Record 4
## CeBiRh (PBE)

Data for a relaxed structure of CeBiRh.

DOS at the Fermi energy: 0.809 states/eV/atom
ΔH_f (0 K): -2.2 eV per formula unit
total moment: 0.7 μB/cell

The structure in POSCAR format:
```
CeBiRh
1.0
7.6567 0.0000 0.0000
0.0000 5.0269 0.0000
0.0000 0.0000 7.5998
Ce Bi Rh
4 4 4
Cartesian
0.1029 1.2567 1.5018
3.7255 3.7701 5.3017
3.9312 1.2567 2.2980
7.5538 3.7701 6.0979
1.3475 1.2567 4.5818
2.4809 3.7701 0.7819
5.1758 1.2567 6.8179
6.3092 3.7701 3.0180
1.8748 1.2567 7.3328
1.9536 3.7701 3.5330
5.7031 1.2567 4.0668
5.7819 3.7701 0.2669
```



Record 5
## ScTi2Sn (PBE)

Data for a relaxed structure of ScTi2Sn.

DOS at the Fermi energy: 0.593 states/eV/atom
ΔH_f (0 K): -1.6 eV per formula unit
total moment: 0.0 μB/cell

The structure in POSCAR format:
```
ScTi2Sn
1.0
4.0902 0.0000 0.0000
0.0000 19.7088 0.0000
0.0000 0.0000 4.0835
Sc Ti Sn
4 8 4
Cartesian
0.0000 3.7194 1.0209
0.0000 15.9893 3.0626
2.0451 6.1349 3.0626
2.0451 13.5738 1.0209
0.0000 0.9981 3.0626
0.0000 8.8839 3.0626
0.0000 10.8249 1.0209
0.0000 18.7106 1.0209
2.0451 0.9705 1.0209
2.0451 8.8562 1.0209
2.0451 10.8525 3.0626
2.0451 18.7382 3.0626
0.0000 6.7182 1.0209
0.0000 12.9906 3.0626
2.0451 3.1362 3.0626
2.0451 16.5726 1.0209
```



Record 6
## HfNbV2 (PBE)

Data for a relaxed structure of HfNbV2.

DOS at the Fermi energy: 1.336 states/eV/atom
ΔE to the lowest computed polymorph: 516.0 meV/atom
ΔH_f (0 K): 2.4 eV per formula unit
total moment: 0.0 μB/cell

The structure in POSCAR format:
```
HfNbV2
1.0
7.0793 0.0000 0.0000
0.0000 7.0793 0.0000
0.0000 0.0000 5.6103
Hf Nb V
4 4 8
Cartesian
0.0000 0.0000 0.0000
0.0000 3.5397 1.4026
3.5397 0.0000 4.2077
3.5397 3.5397 2.8052
0.0000 0.0000 2.8052
0.0000 3.5397 4.2077
3.5397 0.0000 1.4026
3.5397 3.5397 0.0000
1.6632 1.7698 3.5064
1.7698 5.2028 4.9090
1.7698 5.4161 2.1039
1.8765 1.7698 0.7013
5.2028 5.3095 0.7013
5.3095 1.6632 2.1039
5.3095 1.8765 4.9090
5.4161 5.3095 3.5064
```



Record 7
## Al2PdW (PBE)

Data for a relaxed structure of Al2PdW.

DOS at the Fermi energy: 0.659 states/eV/atom
ΔE to the lowest computed polymorph: 40.5 meV/atom
ΔH_f (0 K): -1.4 eV per formula unit
total moment: 0.0 μB/cell

The structure in POSCAR format:
```
Al2PdW
1.0
4.4909 0.0000 0.0000
0.0000 4.4909 0.0000
0.0000 0.0000 2.9614
Al Pd W
2 1 1
Cartesian
0.0000 2.2454 0.0000
2.2454 0.0000 0.0000
0.0000 0.0000 1.4807
2.2454 2.2454 1.4807
```



Record 8
## LiFeMo (PBE)

Data for a relaxed structure of LiFeMo.

DOS at the Fermi energy: 0.763 states/eV/atom
ΔE to the lowest computed polymorph: 0.0 meV/atom
ΔH_f (0 K): 0.9 eV per formula unit
total moment: 1.2 μB/cell

The structure in POSCAR format:
```
LiFeMo
1.0
4.2009 0.0000 0.0000
-2.1005 3.6381 0.0000
0.0000 0.0000 2.5311
Li Fe Mo
1 1 1
Cartesian
0.0000 0.0000 0.0000
0.0000 2.4254 1.7601
2.1005 1.2127 1.0000
```



Record 9
## Dy12HoTh7 (PBE)

Data for a relaxed structure of Dy12HoTh7.

DOS at the Fermi energy: 1.869 states/eV/atom
ΔH_f (0 K): 19.2 eV per formula unit
total moment: 0.0 μB/cell

The structure in POSCAR format:
```
Dy12HoTh7
1.0
-5.7605 5.7605 5.7605
5.7605 -5.7605 5.7605
5.7605 5.7605 -5.7605
Dy Ho Th
12 1 7
Cartesian
5.7605 -2.8155 2.8575
2.9450 2.9030 0.0000
8.5759 2.9030 0.0000
2.8575 5.7605 -2.8155
2.9030 0.0000 2.9450
5.7605 2.8155 2.8575
0.0000 2.9450 2.9030
2.8575 5.7605 2.8155
2.9030 0.0000 8.5759
-2.8155 2.8575 5.7605
2.8155 2.8575 5.7605
0.0000 8.5759 2.9030
0.0000 0.0000 0.0000
2.8802 2.8802 -2.8802
2.8802 -2.8802 2.8802
5.7605 0.0000 0.0000
-2.8802 2.8802 2.8802
0.0000 5.7605 0.0000
0.0000 0.0000 5.7605
2.8802 2.8802 2.8802
```



Record 10
## Si2Ru2Cl (PBE)

Data for a relaxed structure of Si2Ru2Cl.

DOS at the Fermi energy: 0.660 states/eV/atom
ΔE to the lowest computed polymorph: 232.4 meV/atom
total moment: 0.0 μB/cell

The structure in POSCAR format:
```
Si2Ru2Cl
1.0
7.1175 0.0000 0.0000
0.0000 7.1175 0.0000
0.0000 0.0000 2.9169
Si Ru Cl
4 4 2
Cartesian
0.9891 2.5696 0.0000
2.5696 6.1283 0.0000
4.5479 0.9891 0.0000
6.1283 4.5479 0.0000
1.0405 4.5992 1.4585
2.5182 1.0405 1.4585
4.5992 6.0770 1.4585
6.0770 2.5182 1.4585
0.0000 0.0000 0.0000
3.5587 3.5587 0.0000
```



Record 11
## Tb2Ho8Sc3 (PBE)

Data for a relaxed structure of Tb2Ho8Sc3.

DOS at the Fermi energy: 1.533 states/eV/atom
ΔE to the lowest computed polymorph: 216.4 meV/atom
ΔH_f (0 K): 3.4 eV per formula unit
total moment: 0.0 μB/cell

The structure in POSCAR format:
```
Tb2Ho8Sc3
1.0
7.2732 -4.3462 0.0000
7.2732 4.3462 0.0000
-0.9560 0.0000 6.4607
Tb Ho Sc
2 8 3
Cartesian
2.6551 0.0000 1.8354
10.9354 0.0000 4.6253
2.0546 0.0000 5.1074
5.1317 1.5889 3.7044
5.8906 0.0000 0.7415
8.4587 1.5889 2.7564
5.1317 -1.5889 3.7044
7.6999 0.0000 5.7193
8.4587 -1.5889 2.7564
11.5359 0.0000 1.3533
-0.4780 0.0000 3.2304
7.2732 2.9187 0.0000
7.2732 -2.9187 0.0000
```



Record 12
## CsScHgBr6 (PBE)

Data for a relaxed structure of CsScHgBr6.

DOS at the Fermi energy: 0.000 states/eV/atom
E: -3.256 eV per atom
total moment: 0.0 μB/cell

The structure in POSCAR format:
```
CsScHgBr6
1.0
7.2474 0.0000 0.0000
-3.6237 6.2764 0.0000
0.0000 0.0000 8.0642
Cs Sc Hg Br
1 1 1 6
Cartesian
0.0000 0.0000 0.0000
0.0000 4.1843 4.0321
3.6237 2.0921 4.0321
-1.2663 2.4359 5.6207
-2.1473 3.9618 2.4435
1.2663 2.4359 2.4435
-0.8810 6.1551 5.6207
2.1473 3.9618 5.6207
0.8810 6.1551 2.4435
```



Record 13
## Nd2PuTe4 (PBE)

Data for a relaxed structure of Nd2PuTe4.

DOS at the Fermi energy: 1.875 states/eV/atom
ΔE to the lowest computed polymorph: 0.0 meV/atom
total moment: 12.0 μB/cell

The structure in POSCAR format:
```
Nd2PuTe4
1.0
-4.7566 4.7566 4.7430
4.7566 -4.7566 4.7430
4.7566 4.7566 -4.7430
Nd Pu Te
4 2 8
Cartesian
-2.3783 5.9442 3.5573
-1.1876 2.3783 1.1858
2.3783 3.5690 3.5573
1.1876 7.1349 1.1858
4.7566 0.0000 2.3715
0.0000 0.0000 4.7430
3.0880 4.0370 -2.8327
5.4762 1.6686 -0.4612
1.6686 0.7196 1.9103
1.6686 4.0370 0.4612
5.4762 3.0880 2.8327
3.0880 0.7196 5.2042
-0.7196 3.0880 4.2818
-0.7196 1.6686 7.5757
```



Record 14
## Mn2ZnSb (PBE)

Data for a relaxed structure of Mn2ZnSb.

DOS at the Fermi energy: 0.793 states/eV/atom
ΔE to the lowest computed polymorph: 85.5 meV/atom
total moment: 11.6 μB/cell

The structure in POSCAR format:
```
Mn2ZnSb
1.0
5.6506 0.0000 0.0000
0.0000 7.0606 0.0000
-0.0102 0.0000 3.1643
Mn Zn Sb
4 2 2
Cartesian
1.4127 1.7652 0.0000
1.4127 5.2955 0.0000
4.2380 1.7652 0.0000
4.2380 5.2955 0.0000
-0.0051 0.0000 1.5822
2.8202 3.5303 1.5822
-0.0051 3.5303 1.5822
2.8202 0.0000 1.5822
```



Record 15
## CuAsPt2 (PBE)

Data for a relaxed structure of CuAsPt2.

DOS at the Fermi energy: 0.516 states/eV/atom
ΔH_f (0 K): -0.4 eV per formula unit
total moment: 0.0 μB/cell

The structure in POSCAR format:
```
CuAsPt2
1.0
2.8224 0.0000 0.0000
0.0000 4.1792 0.0000
-1.3994 0.0000 5.2435
Cu As Pt
1 1 2
Cartesian
0.0000 0.0000 0.0000
0.0041 2.0896 3.9994
-0.0136 0.0000 2.6786
1.4052 2.0896 1.2002
```



Record 16
## CuNi2Rh (PBE)

Data for a relaxed structure of CuNi2Rh.

DOS at the Fermi energy: 1.133 states/eV/atom
ΔH_f (0 K): 0.2 eV per formula unit
total moment: 2.0 μB/cell

The structure in POSCAR format:
```
CuNi2Rh
1.0
2.6329 0.0000 0.0000
0.0000 2.6329 0.0000
0.0000 0.0000 6.9982
Cu Ni Rh
1 2 1
Cartesian
0.0000 0.0000 0.0000
1.3164 1.3164 1.6997
1.3164 1.3164 5.2985
0.0000 0.0000 3.4991
```



Record 17
## Co2Si3 (PBE)

Data for a relaxed structure of Co2Si3.

DOS at the Fermi energy: 0.673 states/eV/atom
E: -6.428 eV per atom
total moment: 0.0 μB/cell

The structure in POSCAR format:
```
Co2Si3
1.0
5.3789 0.0000 0.0000
0.0000 5.3789 0.0000
0.0000 0.0000 8.4350
Co Si
8 12
Cartesian
0.0000 0.0000 0.0000
0.0000 0.0000 4.2175
0.0000 2.6894 3.1268
0.0000 2.6894 7.3443
2.6894 0.0000 1.0907
2.6894 0.0000 5.3082
2.6894 2.6894 2.1088
2.6894 2.6894 6.3263
0.9265 0.9265 2.1088
0.9265 4.4524 6.3263
1.0984 1.8698 4.9887
1.0984 3.5091 0.7712
1.8698 1.0984 7.6638
1.8698 4.2805 3.4463
3.5091 1.0984 3.4463
3.5091 4.2805 7.6638
4.2805 1.8698 0.7712
4.2805 3.5091 4.9887
4.4524 0.9265 6.3263
4.4524 4.4524 2.1088
```



Record 18
## AlRh (PBE)

Data for a relaxed structure of AlRh.

DOS at the Fermi energy: 0.110 states/eV/atom
ΔH_f (0 K): -0.6 eV per formula unit
total moment: 0.0 μB/cell

The structure in POSCAR format:
```
AlRh
1.0
4.1957 0.0000 0.0000
-2.0979 3.6336 0.0000
0.0000 0.0000 4.8691
Al Rh
2 2
Cartesian
0.0000 2.4224 1.2173
2.0979 1.2112 3.6518
0.0000 2.4224 3.6518
2.0979 1.2112 1.2173
```



Record 19
## ZrP2Os (PBE)

Data for a relaxed structure of ZrP2Os.

DOS at the Fermi energy: 0.873 states/eV/atom
ΔE to the lowest computed polymorph: 529.9 meV/atom
ΔH_f (0 K): -0.4 eV per formula unit
total moment: 0.0 μB/cell

The structure in POSCAR format:
```
ZrP2Os
1.0
3.0183 0.0000 0.0000
-1.5092 2.6140 0.0000
0.0000 0.0000 23.9039
Zr P Os
3 6 3
Cartesian
0.0000 0.0000 0.0000
0.0000 1.7426 15.9360
1.5092 0.8713 7.9680
0.0000 0.0000 5.7330
0.0000 0.0000 18.1710
0.0000 1.7426 10.2030
0.0000 1.7426 21.6689
1.5092 0.8713 2.2350
1.5092 0.8713 13.7009
0.0000 0.0000 11.9520
0.0000 1.7426 3.9840
1.5092 0.8713 19.9199
```



Record 20
## NaCe2Lu (PBE)

Data for a relaxed structure of NaCe2Lu.

DOS at the Fermi energy: 2.605 states/eV/atom
ΔH_f (0 K): 0.9 eV per formula unit
total moment: 5.4 μB/cell

The structure in POSCAR format:
```
NaCe2Lu
1.0
3.3240 0.0000 0.0000
-1.6620 2.8787 0.0000
0.0000 0.0000 38.3255
Na Ce Lu
3 6 3
Cartesian
0.0000 0.0000 0.0000
0.0000 1.9191 25.5503
1.6620 0.9596 12.7751
0.0000 0.0000 3.5020
0.0000 0.0000 34.8235
0.0000 1.9191 22.0483
0.0000 1.9191 29.0524
1.6620 0.9596 9.2731
1.6620 0.9596 16.2772
0.0000 0.0000 19.1627
0.0000 1.9191 6.3876
1.6620 0.9596 31.9379
```



How do the records compare in calculated volume? In the order shown, they have 9.73; 19.24; 25.52; 24.38; 20.57; 17.57; 14.93; 12.89; 38.23; 14.78; 31.42; 40.76; 30.66; 15.78; 15.46; 12.13; 12.20; 18.56; 15.72; 30.56 Å³ per atom.